SnGeSb2I after structural relaxation. Source: the Alexandria database, functional PBEsol.

a b c (Å): 5.644 5.722 5.722
angles (deg): 90.00 90.00 90.00
Sites, in units of the cell vectors:
Sb 0.000 0.500 0.000
Sb 0.000 0.000 0.500
Ge 0.500 0.500 0.500
I 0.000 0.000 0.000
Sn 0.500 0.000 0.000

DOS at the Fermi energy (states/eV per atom): 0.88
Magnetization (μB per cell): 0.00
Formation energy from raw total energies (meV/atom): 1196

=====

Li2MnP4O12 after structural relaxation. Source: the Alexandria database, functional PBEsol.

a b c (Å): 4.599 9.261 9.261
angles (deg): 90.00 90.00 90.00
Sites, in units of the cell vectors:
P 0.000 0.500 0.224
P 0.000 0.500 0.776
P 0.000 0.776 0.500
P 0.000 0.224 0.500
P 0.000 0.000 0.724
P 0.000 0.724 0.000
P 0.000 0.276 0.000
P 0.000 0.000 0.276
O 0.245 0.926 0.800
O 0.847 0.886 0.614
O 0.245 0.300 0.426
O 0.755 0.426 0.300
O 0.245 0.200 0.926
O 0.153 0.886 0.386
O 0.153 0.614 0.886
O 0.153 0.386 0.114
O 0.755 0.074 0.800
O 0.245 0.074 0.200
O 0.847 0.114 0.386
O 0.755 0.200 0.074
O 0.755 0.574 0.700
O 0.755 0.926 0.200
O 0.245 0.426 0.700
O 0.245 0.800 0.074
O 0.245 0.574 0.300
O 0.755 0.300 0.574
O 0.153 0.114 0.614
O 0.847 0.614 0.114
O 0.847 0.386 0.886
O 0.755 0.800 0.926
O 0.755 0.700 0.426
O 0.245 0.700 0.574
Li 0.500 0.750 0.250
Li 0.500 0.250 0.750
Li 0.500 0.750 0.750
Li 0.500 0.250 0.250
Mn 0.500 0.000 0.000
Mn 0.500 0.500 0.500

Energy above the lowest structure with this stoichiometry (eV/atom): 0.0000
DOS at the Fermi energy (states/eV per atom): 0.00
Magnetization (μB per cell): 10.00
Formation energy from raw total energies (meV/atom): -2139

=====

Y3ZnSi after structural relaxation. Source: the Alexandria database, functional PBEsol.

a b c (Å): 5.197 5.197 5.197
angles (deg): 90.00 90.00 90.00
Sites, in units of the cell vectors:
Y 0.000 0.500 0.000
Y 0.500 0.000 0.000
Y 0.000 0.000 0.500
Zn 0.000 0.000 0.000
Si 0.500 0.500 0.500

DOS at the Fermi energy (states/eV per atom): 1.04
Magnetization (μB per cell): 0.00
Formation energy from raw total energies (meV/atom): 198

=====

RuPt2 after structural relaxation. Source: the Alexandria database, functional PBEsol.

a b c (Å): 4.181 4.181 4.181
angles (deg): 60.00 60.00 60.00
Sites, in units of the cell vectors:
Pt 0.750 0.750 0.750
Pt 0.250 0.250 0.250
Ru 0.000 0.000 0.000

DOS at the Fermi energy (states/eV per atom): 1.96
E_form (eV per atom): 0.67
Magnetization (μB per cell): 1.23

=====

Sr2TaMn after structural relaxation. Source: the Alexandria database, functional PBEsol.

a b c (Å): 3.296 3.769 9.555
angles (deg): 101.37 99.93 90.00
Sites, in units of the cell vectors:
Sr 0.653 0.653 0.307
Sr 0.347 0.347 0.693
Mn 0.000 0.500 0.000
Ta 0.500 0.000 0.000

Energy above the lowest structure with this stoichiometry (eV/atom): 0.0000
DOS at the Fermi energy (states/eV per atom): 1.41
E_form (eV per atom): 0.67
Magnetization (μB per cell): 1.33

=====

LiTl2Os after structural relaxation. Source: the Alexandria database, functional PBEsol.

a b c (Å): 3.086 4.562 5.443
angles (deg): 90.00 90.00 90.00
Sites, in units of the cell vectors:
Os 0.000 0.500 0.500
Tl 0.500 0.000 0.500
Tl 0.000 0.000 0.000
Li 0.500 0.500 0.000

Energy above the lowest structure with this stoichiometry (eV/atom): 0.2125
DOS at the Fermi energy (states/eV per atom): 0.58
E_form (eV per atom): 0.62
Magnetization (μB per cell): 0.00

=====

FeMoW2 after structural relaxation. Source: the Alexandria database, functional PBEsol.

a b c (Å): 3.137 4.366 5.025
angles (deg): 115.75 108.19 90.00
Sites, in units of the cell vectors:
W 0.250 0.250 0.500
W 0.750 0.750 0.500
Mo 0.000 0.500 0.000
Fe 0.500 0.000 0.000

Energy above the lowest structure with this stoichiometry (eV/atom): 0.0623
DOS at the Fermi energy (states/eV per atom): 0.73
E_form (eV per atom): 0.15
Magnetization (μB per cell): 1.98

=====

Tl2In2Sn after structural relaxation. Source: the Alexandria database, functional PBEsol.

a b c (Å): 4.727 7.705 7.705
angles (deg): 90.00 90.00 90.00
Sites, in units of the cell vectors:
Sn 0.000 0.000 0.000
Sn 0.000 0.500 0.500
In 0.000 0.365 0.865
In 0.000 0.635 0.135
In 0.000 0.135 0.365
In 0.000 0.865 0.635
Tl 0.500 0.171 0.671
Tl 0.500 0.329 0.171
Tl 0.500 0.829 0.329
Tl 0.500 0.671 0.829

DOS at the Fermi energy (states/eV per atom): 0.49
E_form (eV per atom): 0.06
Magnetization (μB per cell): 0.00